The following is a DFT calculation (GGA-PBE) of a relaxed LaSeN2O crystal.

It has space group P4/mmm (No. 123), with a = 4.241 Å, b = 4.241 Å, c = 3.954 Å, α = 90.00°, β = 90.00° and γ = 90.00°. The inequivalent atoms are La at (0.000, 0.000, 0.000), Se at (0.500, 0.500, 0.000), N at (0.000, 0.500, 0.500) and O at (0.500, 0.500, 0.500).

As for the density of states at the Fermi level: 4.06 states/eV/f.u. The density is 6.1 Mg/m³. The total energy is -26.69 eV per cell.